Record 1
Entry from Alexandria: a geometry-optimized USO structure (GGA-PBE).

Output
Spin magnetization: 1.94 μB/f.u.
Formation energy without anion corrections: -2299 meV/atom

Structure (CIF):
```
data_USO
_cell_length_a 3.8199
_cell_length_b 3.8199
_cell_length_c 3.9789
_cell_angle_alpha 90.00
_cell_angle_beta 90.00
_cell_angle_gamma 120.00
_symmetry_space_group_name_H-M 'P -6 m 2'
_symmetry_Int_Tables_number 187
_symmetry_space_group_name_Hall 'P -6 2'
loop_
_atom_site_label
_atom_site_type_symbol
_atom_site_fract_x
_atom_site_fract_y
_atom_site_fract_z
U1 U 0.0000 0.0000 0.0000
S1 S 0.6667 0.3333 0.5000
O1 O 0.3333 0.6667 0.0000
```



Record 2
Entry from Alexandria: a geometry-optimized Cd2AgHg2 structure (GGA-PBE).

Output
Final energy: -0.879 eV/atom
Spin magnetization: 0.00 μB/f.u.

Structure (CIF):
```
data_Cd2AgHg2
_cell_length_a 4.1324
_cell_length_b 4.1324
_cell_length_c 14.5212
_cell_angle_alpha 90.00
_cell_angle_beta 90.00
_cell_angle_gamma 90.00
_symmetry_space_group_name_H-M 'I 4/m m m'
_symmetry_Int_Tables_number 139
_symmetry_space_group_name_Hall '-I 4 2'
loop_
_atom_site_label
_atom_site_type_symbol
_atom_site_fract_x
_atom_site_fract_y
_atom_site_fract_z
Cd1 Cd 0.0000 0.0000 0.0947
Ag1 Ag 0.0000 0.0000 0.5000
Hg1 Hg 0.0000 0.5000 0.2500
```



Record 3
Entry from Alexandria: a geometry-optimized Fe2Ru structure (GGA-PBE).

Output
Final energy: -8.609 eV/atom
Spin magnetization: 0.64 μB/f.u.

Structure (CIF):
```
data_Fe2Ru
_cell_length_a 9.3340
_cell_length_b 2.6035
_cell_length_c 6.0543
_cell_angle_alpha 90.00
_cell_angle_beta 104.19
_cell_angle_gamma 90.00
_symmetry_space_group_name_H-M 'C 1 2/m 1'
_symmetry_Int_Tables_number 12
loop_
_symmetry_equiv_pos_as_xyz
'x,y,z'
'-x,-y,-z'
'-x,y,-z'
'x,-y,z'
'x+1/2,y+1/2,z'
'-x+1/2,-y+1/2,-z'
'-x+1/2,y+1/2,-z'
'x+1/2,-y+1/2,z'
loop_
_atom_site_label
_atom_site_type_symbol
_atom_site_fract_x
_atom_site_fract_y
_atom_site_fract_z
Fe1 Fe 0.0277 0.0000 0.3035
Fe2 Fe 0.1331 0.5000 0.0273
Ru1 Ru 0.1914 0.5000 0.6459
```



Record 4
Entry from Alexandria: a geometry-optimized K3La2ZrSe6 structure (GGA-PBE).

Output
Spin magnetization: 0.76 μB/f.u.
Formation energy without anion corrections: -1626 meV/atom

Structure (CIF):
```
data_K3La2ZrSe6
_cell_length_a 7.4068
_cell_length_b 12.8296
_cell_length_c 8.1030
_cell_angle_alpha 90.00
_cell_angle_beta 107.86
_cell_angle_gamma 90.00
_symmetry_space_group_name_H-M 'C 1 2/m 1'
_symmetry_Int_Tables_number 12
loop_
_symmetry_equiv_pos_as_xyz
'x,y,z'
'-x,-y,-z'
'-x,y,-z'
'x,-y,z'
'x+1/2,y+1/2,z'
'-x+1/2,-y+1/2,-z'
'-x+1/2,y+1/2,-z'
'x+1/2,-y+1/2,z'
loop_
_atom_site_label
_atom_site_type_symbol
_atom_site_fract_x
_atom_site_fract_y
_atom_site_fract_z
K1 K 0.0000 0.0000 0.0000
K2 K 0.0000 0.3299 0.0000
La1 La 0.0000 0.1664 0.5000
Zr1 Zr 0.0000 0.5000 0.5000
Se1 Se 0.2249 0.3448 0.7086
Se2 Se 0.2397 0.5000 0.2913
```



Record 5
Entry from Alexandria: a geometry-optimized CsBaSr2In structure (GGA-PBE).

Output
Final energy: -1.811 eV/atom
Spin magnetization: 0.00 μB/f.u.

Structure (CIF):
```
data_CsBaSr2In
_cell_length_a 6.6962
_cell_length_b 6.6962
_cell_length_c 6.9275
_cell_angle_alpha 90.00
_cell_angle_beta 90.00
_cell_angle_gamma 90.00
_symmetry_space_group_name_H-M 'P 4/m m m'
_symmetry_Int_Tables_number 123
_symmetry_space_group_name_Hall '-P 4 2'
loop_
_atom_site_label
_atom_site_type_symbol
_atom_site_fract_x
_atom_site_fract_y
_atom_site_fract_z
Cs1 Cs 0.0000 0.0000 0.0000
Ba1 Ba 0.5000 0.5000 0.0000
Sr1 Sr 0.0000 0.5000 0.5000
In1 In 0.5000 0.5000 0.5000
```



Record 6
Entry from Alexandria: a geometry-optimized TaCoTe2Rh structure (GGA-PBE).

Output
Spin magnetization: 2.09 μB/f.u.
Formation energy without anion corrections: 1140 meV/atom

Structure (CIF):
```
data_TaCoTe2Rh
_cell_length_a 5.3280
_cell_length_b 5.3280
_cell_length_c 4.8006
_cell_angle_alpha 90.00
_cell_angle_beta 90.00
_cell_angle_gamma 90.00
_symmetry_space_group_name_H-M 'P 4/m m m'
_symmetry_Int_Tables_number 123
_symmetry_space_group_name_Hall '-P 4 2'
loop_
_atom_site_label
_atom_site_type_symbol
_atom_site_fract_x
_atom_site_fract_y
_atom_site_fract_z
Ta1 Ta 0.0000 0.0000 0.0000
Co1 Co 0.5000 0.5000 0.5000
Te1 Te 0.0000 0.5000 0.0000
Rh1 Rh 0.0000 0.0000 0.5000
```



Record 7
Entry from Alexandria: a geometry-optimized KZn2Sn structure (GGA-PBE).

Output
Final energy: -1.834 eV/atom
Spin magnetization: 0.00 μB/f.u.

Structure (CIF):
```
data_KZn2Sn
_cell_length_a 5.3869
_cell_length_b 5.3869
_cell_length_c 18.4304
_cell_angle_alpha 90.00
_cell_angle_beta 90.00
_cell_angle_gamma 90.00
_symmetry_space_group_name_H-M 'I 41/a m d'
_symmetry_Int_Tables_number 141
loop_
_symmetry_equiv_pos_as_xyz
'x,y,z'
'-x,-y,-z'
'-y+1/4,x+3/4,z+1/4'
'y+1/4,-x+3/4,-z+1/4'
'-x+1/2,-y,z+1/2'
'x+1/2,y,-z+1/2'
'y+1/4,-x+1/4,z+3/4'
'-y+1/4,x+1/4,-z+3/4'
'x,-y,-z'
'-x,y,z'
'-y+1/4,-x+1/4,-z+3/4'
'y+1/4,x+1/4,z+3/4'
'-x+1/2,y,-z+1/2'
'x+1/2,-y,z+1/2'
'y+1/4,x+3/4,-z+1/4'
'-y+1/4,-x+3/4,z+1/4'
'x+1/2,y+1/2,z+1/2'
'-x+1/2,-y+1/2,-z+1/2'
'-y+3/4,x+1/4,z+3/4'
'y+3/4,-x+1/4,-z+3/4'
'-x,-y+1/2,z'
'x,y+1/2,-z'
'y+3/4,-x+3/4,z+1/4'
'-y+3/4,x+3/4,-z+1/4'
'x+1/2,-y+1/2,-z+1/2'
'-x+1/2,y+1/2,z+1/2'
'-y+3/4,-x+3/4,-z+1/4'
'y+3/4,x+3/4,z+1/4'
'-x,y+1/2,-z'
'x,-y+1/2,z'
'y+3/4,x+1/4,-z+3/4'
'-y+3/4,-x+1/4,z+3/4'
loop_
_atom_site_label
_atom_site_type_symbol
_atom_site_fract_x
_atom_site_fract_y
_atom_site_fract_z
K1 K 0.0000 0.2500 0.3750
Zn1 Zn 0.0000 0.0000 0.0000
Sn1 Sn 0.0000 0.2500 0.8750
```



Record 8
Entry from Alexandria: a geometry-optimized Cs4Mn3PbCl12 structure (GGA-PBE).

Output
Spin magnetization: 15.00 μB/f.u.
Formation energy without anion corrections: -1482 meV/atom

Structure (CIF):
```
data_Cs4Mn3PbCl12
_cell_length_a 10.5875
_cell_length_b 10.5875
_cell_length_c 10.5875
_cell_angle_alpha 90.00
_cell_angle_beta 90.00
_cell_angle_gamma 90.00
_symmetry_space_group_name_H-M 'I m -3 m'
_symmetry_Int_Tables_number 229
_symmetry_space_group_name_Hall '-I 4 2 3'
loop_
_atom_site_label
_atom_site_type_symbol
_atom_site_fract_x
_atom_site_fract_y
_atom_site_fract_z
Cs1 Cs 0.2500 0.2500 0.2500
Mn1 Mn 0.0000 0.0000 0.5000
Pb1 Pb 0.0000 0.0000 0.0000
Cl1 Cl 0.0000 0.0000 0.2684
Cl2 Cl 0.0000 0.2500 0.5000
```



Record 9
Entry from Alexandria: a geometry-optimized Li3In3SnBi2 structure (GGA-PBE).

Output
Final energy: -3.033 eV/atom
Spin magnetization: 0.00 μB/f.u.

Structure (CIF):
```
data_Li3In3SnBi2
_cell_length_a 8.8896
_cell_length_b 8.8896
_cell_length_c 3.4638
_cell_angle_alpha 90.00
_cell_angle_beta 90.00
_cell_angle_gamma 120.00
_symmetry_space_group_name_H-M 'P -6 2 m'
_symmetry_Int_Tables_number 189
_symmetry_space_group_name_Hall 'P -6 -2'
loop_
_atom_site_label
_atom_site_type_symbol
_atom_site_fract_x
_atom_site_fract_y
_atom_site_fract_z
Li1 Li 0.0000 0.3681 0.0000
In1 In 0.0000 0.7088 0.5000
Sn1 Sn 0.0000 0.0000 0.0000
Bi1 Bi 0.3333 0.6667 0.5000
```



Which value of spin magnetization does entry 3 give? 0.64 μB/f.u.



Which of these has the highest spin magnetization? Cs4Mn3PbCl12



Which formula does entry 3 have? Fe2Ru